# SrMgSc2 PBE-GGA relaxed
# electronic total energy: -29.9 eV for the cell shown
# V: 232 Å³/cell
data_SrMgSc2
_chemical_formula_sum 'Sr2 Mg2 Sc4'
_cell_length_a 3.757
_cell_length_b 5.536
_cell_length_c 11.147
_cell_angle_alpha 90.00
_cell_angle_beta 90.00
_cell_angle_gamma 90.00
_space_group_name_H-M_alt 'I m m 2'
_space_group_IT_number 44
_space_group_name_Hall 'I 2 -2'
loop_
_atom_site_label
_atom_site_type_symbol
_atom_site_fract_x
_atom_site_fract_y
_atom_site_fract_z
_atom_site_occupancy
Sr1 Sr 0.000 0.000 0.000 1
Mg1 Mg 0.000 0.500 0.247 1
Sc1 Sc 0.000 0.000 0.523 1
Sc2 Sc 0.000 0.500 0.781 1

# SrMgSc2 PBE-GGA relaxed
# electronic total energy: -43.2 eV for the cell shown
# V: 354 Å³/cell
data_SrMgSc2
_chemical_formula_sum 'Sr3 Mg3 Sc6'
_cell_length_a 3.4085
_cell_length_b 3.4085
_cell_length_c 35.2119
_cell_angle_alpha 90.00
_cell_angle_beta 90.00
_cell_angle_gamma 120.00
_space_group_name_H-M_alt 'R -3 m'
_space_group_IT_number 166
_space_group_name_Hall '-R 3 2"'
loop_
_atom_site_label
_atom_site_type_symbol
_atom_site_fract_x
_atom_site_fract_y
_atom_site_fract_z
_atom_site_occupancy
Sr1 Sr 0.0000 0.0000 0.0000 1
Mg1 Mg 0.0000 0.0000 0.5000 1
Sc1 Sc 0.0000 0.0000 0.0957 1

# SrMgSc3 PBE-GGA relaxed
# electronic total energy: -19.3 eV for the cell shown
# V: 162 Å³/cell
# energy above the lowest structure with this stoichiometry: 0.00 eV/f.u.
data_SrMgSc3
_chemical_formula_sum 'Sr1 Mg1 Sc3'
_cell_length_a 5.456
_cell_length_b 5.456
_cell_length_c 5.456
_cell_angle_alpha 90.00
_cell_angle_beta 90.00
_cell_angle_gamma 90.00
_space_group_name_H-M_alt 'P m -3 m'
_space_group_IT_number 221
_space_group_name_Hall '-P 4 2 3'
loop_
_atom_site_label
_atom_site_type_symbol
_atom_site_fract_x
_atom_site_fract_y
_atom_site_fract_z
_atom_site_occupancy
Sr1 Sr 0.000 0.000 0.000 1
Mg1 Mg 0.500 0.500 0.500 1
Sc1 Sc 0.000 0.500 0.500 1

# SrMg2Sc PBE-GGA relaxed
# electronic total energy: -10.9 eV for the cell shown
# V: 116 Å³/cell
# energy above the lowest structure with this stoichiometry: 0.30 eV/f.u.
data_SrMg2Sc
_chemical_formula_sum 'Sr1 Mg2 Sc1'
_cell_length_a 3.764
_cell_length_b 5.542
_cell_length_c 5.544
_cell_angle_alpha 90.00
_cell_angle_beta 90.00
_cell_angle_gamma 90.00
_space_group_name_H-M_alt 'P m m 2'
_space_group_IT_number 25
_space_group_name_Hall 'P 2 -2'
loop_
_atom_site_label
_atom_site_type_symbol
_atom_site_fract_x
_atom_site_fract_y
_atom_site_fract_z
_atom_site_occupancy
Sr1 Sr 0.000 0.000 0.000 1
Mg1 Mg 0.500 0.000 0.500 1
Mg2 Mg 0.500 0.500 0.991 1
Sc1 Sc 0.000 0.500 0.494 1

# SrMgSc2Tc PBE-GGA relaxed
# electronic total energy: -26.0 eV for the cell shown
# V: 138 Å³/cell
data_SrMgSc2Tc
_chemical_formula_sum 'Sr1 Mg1 Sc2 Tc1'
_cell_length_a 5.014
_cell_length_b 5.014
_cell_length_c 5.471
_cell_angle_alpha 90.00
_cell_angle_beta 90.00
_cell_angle_gamma 90.00
_space_group_name_H-M_alt 'P 4/m m m'
_space_group_IT_number 123
_space_group_name_Hall '-P 4 2'
loop_
_atom_site_label
_atom_site_type_symbol
_atom_site_fract_x
_atom_site_fract_y
_atom_site_fract_z
_atom_site_occupancy
Sr1 Sr 0.000 0.000 0.000 1
Mg1 Mg 0.500 0.500 0.000 1
Sc1 Sc 0.000 0.500 0.500 1
Tc1 Tc 0.500 0.500 0.500 1

# MgSc2Ta2 PBE-GGA relaxed
# electronic total energy: -68.5 eV for the cell shown
# V: 224 Å³/cell
# energy above the lowest structure with this stoichiometry: 2.04 eV/f.u.
data_MgSc2Ta2
_chemical_formula_sum 'Mg2 Sc4 Ta4'
_cell_length_a 4.068
_cell_length_b 4.068
_cell_length_c 13.510
_cell_angle_alpha 90.00
_cell_angle_beta 90.00
_cell_angle_gamma 90.00
_space_group_name_H-M_alt 'I 4/m m m'
_space_group_IT_number 139
_space_group_name_Hall '-I 4 2'
loop_
_atom_site_label
_atom_site_type_symbol
_atom_site_fract_x
_atom_site_fract_y
_atom_site_fract_z
_atom_site_occupancy
Mg1 Mg 0.000 0.000 0.000 1
Sc1 Sc 0.000 0.500 0.250 1
Ta1 Ta 0.000 0.000 0.411 1